# 1
## Pm3Tl4SnS8 (GGA-PBE)

Data for a geometry-optimized Pm3Tl4SnS8 structure.

Unit cell a=8.8705 b=8.8705 c=8.8705 alpha=55.38 beta=55.38 gamma=55.38
Closest atoms and distances in Å follow each position.
Sites, in units of the cell vectors:
Pm1 0.0000 0.5000 0.5000  6 S 2.83-2.84
Pm2 0.5000 0.0000 0.5000  6 S 2.83-2.84
Pm3 0.5000 0.5000 0.0000  6 S 2.83-2.84
Tl1 0.0000 0.0000 0.5000  6 S 3.25
Tl2 0.0000 0.5000 0.0000  6 S 3.25
Tl3 0.5000 0.0000 0.0000  6 S 3.25
Tl4 0.5000 0.5000 0.5000  6 S 3.31
Sn1 0.0000 0.0000 0.0000  6 S 2.77
S1 0.2296 0.2296 0.7413  1 Sn 2.77, 2 Pm 2.84
S2 0.2296 0.7413 0.2296  1 Sn 2.77, 2 Pm 2.84
S3 0.2587 0.7704 0.7704  1 Sn 2.77, 2 Pm 2.84
S4 0.2654 0.2654 0.2654  3 Pm 2.83
S5 0.7346 0.7346 0.7346  3 Pm 2.83
S6 0.7413 0.2296 0.2296  1 Sn 2.77, 2 Pm 2.84
S7 0.7704 0.2587 0.7704  1 Sn 2.77, 2 Pm 2.84
S8 0.7704 0.7704 0.2587  1 Sn 2.77, 2 Pm 2.84

Computed properties:
**E**: -79.57 eV per cell
**DOS at the Fermi energy**: 3.7 states/eV/cell
**Theoretical density**: 6.14 g cm⁻³
**Formation energy from raw total energies**: -1.177 eV per atom


# 2
## Pr2Sb3Rh5 (GGA-PBE)

Data for a geometry-optimized Pr2Sb3Rh5 structure.

Unit cell a=13.1869 b=13.1869 c=7.1456 alpha=90.00 beta=90.00 gamma=160.67
Closest atoms and distances in Å follow each position.
Sites, in units of the cell vectors:
Pr1 0.0129 0.9871 0.5000  3 Rh 3.02-3.06, 5 Sb 3.07-3.27
Pr2 0.3236 0.6764 0.5196  9 Rh 3.10-3.36, 4 Sb 3.28-3.44
Pr3 0.6764 0.3236 0.0196  9 Rh 3.10-3.36, 4 Sb 3.28-3.44
Pr4 0.9871 0.0129 0.0000  3 Rh 3.02-3.06, 5 Sb 3.07-3.27
Sb1 0.1110 0.8890 0.2602  6 Rh 2.61-2.77
Sb2 0.2770 0.7230 0.0646  7 Rh 2.61-2.73
Sb3 0.4440 0.5560 0.2738  4 Rh 2.62-2.72
Sb4 0.5560 0.4440 0.7738  4 Rh 2.62-2.72
Sb5 0.7230 0.2770 0.5646  7 Rh 2.61-2.73
Sb6 0.8890 0.1110 0.7602  6 Rh 2.61-2.77
Rh1 0.0992 0.9008 0.8912  3 Sb 2.62-2.65
Rh2 0.2082 0.7918 0.3531  4 Sb 2.61-2.73
Rh3 0.2203 0.7797 0.7622  3 Sb 2.62-2.63
Rh4 0.3752 0.6248 0.9866  4 Sb 2.61-2.77
Rh5 0.4435 0.5565 0.6538  3 Sb 2.71-2.74, 1 Rh 2.97
Rh6 0.5565 0.4435 0.1538  3 Sb 2.71-2.74, 1 Rh 2.97
Rh7 0.6248 0.3752 0.4866  4 Sb 2.61-2.77
Rh8 0.7797 0.2203 0.2622  3 Sb 2.62-2.63
Rh9 0.7918 0.2082 0.8531  4 Sb 2.61-2.73
Rh10 0.9008 0.0992 0.3912  3 Sb 2.62-2.65

Computed properties:
**E**: -130.23 eV per cell
**DOS at the Fermi energy**: 13.6 states/eV/cell
**Theoretical density**: 9.38 g cm⁻³
**Formation energy from raw total energies**: -0.643 eV per atom


# 3
## Na4Pd3IO8 (GGA-PBE)

Data for a geometry-optimized Na4Pd3IO8 structure.

Unit cell a=6.9830 b=6.9830 c=6.3428 alpha=113.02 beta=113.02 gamma=51.31
Closest atoms and distances in Å follow each position.
Sites, in units of the cell vectors:
Na1 0.0000 0.0000 0.0000  4 O 2.40
Na2 0.0000 0.5000 0.5000  6 O 2.41-2.47
Na3 0.5000 0.0000 0.5000  6 O 2.41-2.47
Na4 0.5000 0.5000 0.0000  6 O 2.41-2.54
Pd1 0.0000 0.0000 0.5000  4 O 2.07
Pd2 0.0000 0.5000 0.0000  4 O 2.01-2.10
Pd3 0.5000 0.0000 0.0000  4 O 2.01-2.10
I1 0.5000 0.5000 0.5000  6 O 2.08-2.26
O1 0.2112 0.7132 0.6802  1 Pd 2.07, 1 I 2.08
O2 0.2765 0.2765 0.8200  2 Pd 2.01
O3 0.2868 0.7888 0.3198  1 Pd 2.07, 1 I 2.08
O4 0.3051 0.3051 0.2559  2 Pd 2.10, 1 I 2.26
O5 0.6949 0.6949 0.7441  2 Pd 2.10, 1 I 2.26
O6 0.7132 0.2112 0.6802  1 Pd 2.07, 1 I 2.08
O7 0.7235 0.7235 0.1800  2 Pd 2.01
O8 0.7888 0.2868 0.3198  1 Pd 2.07, 1 I 2.08

Computed properties:
**E**: -75.28 eV per cell
**DOS at the Fermi energy**: 6.0 states/eV/cell
**Theoretical density**: 5.09 g cm⁻³
**Formation energy from raw total energies**: -0.825 eV per atom


# 4
## Sr2PmAgO4 (GGA-PBE)

Data for a geometry-optimized Sr2PmAgO4 structure.

Unit cell a=6.1851 b=3.6310 c=6.2185 alpha=90.00 beta=109.37 gamma=90.00
Closest atoms and distances in Å follow each position.
Sites, in units of the cell vectors:
Sr1 0.0000 0.0000 0.0000  6 O 2.46-2.49
Sr2 0.5000 0.5000 0.0000  6 O 2.65
Pm1 0.0000 0.5000 0.5000  6 O 2.41-2.46
Ag1 0.5000 0.0000 0.5000  6 O 2.61-2.63
O1 0.2233 0.0000 0.7388  3 Sr 2.46-2.65, 2 Pm 2.46, 1 Ag 2.61
O2 0.2238 0.5000 0.2482  1 Pm 2.41, 3 Sr 2.49-2.65, 2 Ag 2.63
O3 0.7762 0.5000 0.7518  1 Pm 2.41, 3 Sr 2.49-2.65, 2 Ag 2.63
O4 0.7767 0.0000 0.2612  3 Sr 2.46-2.65, 2 Pm 2.46, 1 Ag 2.61

Computed properties:
**E**: -49.47 eV per cell
**DOS at the Fermi energy**: 0.0 states/eV/cell
**Theoretical density**: 6.20 g cm⁻³
**Formation energy from raw total energies**: -2.333 eV per atom


# 5
## Fe2ReMo (GGA-PBE)

Data for a geometry-optimized Fe2ReMo structure.

Unit cell a=4.5175 b=4.5175 c=4.5175 alpha=130.75 beta=130.75 gamma=72.21
Closest atoms and distances in Å follow each position.
Sites, in units of the cell vectors:
Fe1 0.2500 0.7500 0.5000  4 Re 2.62, 4 Mo 2.62, 4 Fe 2.66
Fe2 0.7500 0.2500 0.5000  4 Re 2.62, 4 Mo 2.62, 4 Fe 2.66
Re1 0.0000 0.0000 0.0000  8 Fe 2.62, 4 Mo 2.66
Mo1 0.5000 0.5000 0.0000  8 Fe 2.62, 4 Re 2.66

Computed properties:
**Formation energy from the elements**: 103 meV per atom
**E**: -39.79 eV per cell
**DOS at the Fermi energy**: 3.7 states/eV/cell
**Theoretical density**: 12.64 g cm⁻³


# 6
## AcLu2O (GGA-PBE)

Data for a geometry-optimized AcLu2O structure.

Unit cell a=3.2818 b=3.2818 c=8.7938 alpha=90.00 beta=90.00 gamma=90.00
Closest atoms and distances in Å follow each position.
Sites, in units of the cell vectors:
Ac1 0.0000 0.0000 0.0000  4 Ac 3.28
Lu1 0.5000 0.5000 0.3257  4 O 2.78, 1 Lu 3.07
Lu2 0.5000 0.5000 0.6743  4 O 2.78, 1 Lu 3.07
O1 0.0000 0.0000 0.5000  8 Lu 2.78

Computed properties:
**E**: -20.56 eV per cell
**DOS at the Fermi energy**: 3.7 states/eV/cell
**Theoretical density**: 10.40 g cm⁻³
**Formation energy from raw total energies**: -0.614 eV per atom
**Energy relative to the lowest polymorph listed for this composition**: 2.11 eV per formula unit